Entry 1:
This record from OQMD via LeMat-Bulk describes a geometry-optimized PmY2 structure. The functional is GGA-PBE.

* electronic total energy: -5.5895 eV/atom
* ΔE_f: 0.30 eV/atom

```
data_PmY2
_chemical_formula_sum 'Pm2 Y4'
_space_group_name_H-M_alt 'P 1'
_space_group_IT_number 1
_cell_length_a 6.665
_cell_length_b 6.665
_cell_length_c 6.665
_cell_angle_alpha 60.00
_cell_angle_beta 60.00
_cell_angle_gamma 60.00
loop_
_space_group_symop_operation_xyz
'x,y,z'
loop_
_atom_site_label
_atom_site_type_symbol
_atom_site_fract_x
_atom_site_fract_y
_atom_site_fract_z
_atom_site_occupancy
Pm1 Pm 0.000 0.000 0.000 1
Pm2 Pm 0.250 0.250 0.250 1
Y1 Y 0.625 0.625 0.125 1
Y2 Y 0.625 0.125 0.625 1
Y3 Y 0.125 0.625 0.625 1
Y4 Y 0.625 0.625 0.625 1
```


Entry 2:
This record from OQMD via LeMat-Bulk describes a geometry-optimized PmY2 structure. The functional is GGA-PBE.

* electronic total energy: -3.4401 eV/atom
* ΔE_f: 2.45 eV/atom

```
data_PmY2
_chemical_formula_sum 'Pm2 Y4'
_space_group_name_H-M_alt 'P 1'
_space_group_IT_number 1
_cell_length_a 8.906
_cell_length_b 8.906
_cell_length_c 8.906
_cell_angle_alpha 60.00
_cell_angle_beta 60.00
_cell_angle_gamma 60.00
loop_
_space_group_symop_operation_xyz
'x,y,z'
loop_
_atom_site_label
_atom_site_type_symbol
_atom_site_fract_x
_atom_site_fract_y
_atom_site_fract_z
_atom_site_occupancy
Pm1 Pm 0.250 0.250 0.250 1
Pm2 Pm 0.500 0.500 0.500 1
Y1 Y 0.875 0.375 0.375 1
Y2 Y 0.375 0.875 0.375 1
Y3 Y 0.375 0.375 0.375 1
Y4 Y 0.375 0.375 0.875 1
```


Entry 3:
This record from OQMD via LeMat-Bulk describes a geometry-optimized Pm2Y structure. The functional is GGA-PBE.

* electronic total energy: -4.5901 eV/atom
* ΔE_f: 0.73 eV/atom

```
data_Pm2Y
_chemical_formula_sum 'Pm2 Y1'
_space_group_name_H-M_alt 'P 1'
_space_group_IT_number 1
_cell_length_a 5.525
_cell_length_b 5.525
_cell_length_c 5.525
_cell_angle_alpha 60.00
_cell_angle_beta 60.00
_cell_angle_gamma 60.00
loop_
_space_group_symop_operation_xyz
'x,y,z'
loop_
_atom_site_label
_atom_site_type_symbol
_atom_site_fract_x
_atom_site_fract_y
_atom_site_fract_z
_atom_site_occupancy
Pm1 Pm 0.250 0.250 0.250 1
Pm2 Pm 0.750 0.750 0.750 1
Y1 Y 0.000 0.000 0.000 1
```